Record 1
Density functional theory data (PBE-GGA) for an optimized crystal structure of AcHoSbPd.

Cell: 5.390 5.390 5.390 Å, 60.00 60.00 60.00°
Last column: magnetic moment on the atom in μB.
Fractional positions:
Sb (0.500, 0.500, 0.500)  -0.01
Ac (0.750, 0.750, 0.750)  0.10
Ho (0.250, 0.250, 0.250)  0.26
Pd (0.000, 0.000, 0.000)  0.05

SG   F-43m (216)
Fermi-level density of states   1.06 states/eV/atom
Magnetic moment   0.169 μB per atom
Uncorrected energy   -20.75 eV for the cell shown
Volume   27.68 Å³/atom


Record 2
Density functional theory data (PBE-GGA) for an optimized crystal structure of Ac2HoPdSe5.

Cell: 4.160 9.174 12.845 Å, 90.00 90.00 103.10°
Fractional positions:
Ac (0.888, 0.776, 0.844)
Ac (0.126, 0.253, 0.698)
Ac (0.112, 0.224, 0.344)
Ac (0.874, 0.747, 0.198)
Ho (0.824, 0.647, 0.521)
Ho (0.176, 0.353, 0.021)
Pd (0.557, 0.114, 0.927)
Pd (0.443, 0.886, 0.427)
Se (0.339, 0.677, 0.018)
Se (0.698, 0.395, 0.864)
Se (0.501, 0.002, 0.746)
Se (0.308, 0.616, 0.679)
Se (0.982, 0.965, 0.526)
Se (0.661, 0.323, 0.518)
Se (0.302, 0.605, 0.364)
Se (0.499, 0.998, 0.246)
Se (0.692, 0.384, 0.179)
Se (0.018, 0.035, 0.026)

SG   Cmc2_1 (36)
Fermi-level density of states   0.30 states/eV/atom
Magnetic moment   0.000 μB per atom
Uncorrected energy   -100.95 eV for the cell shown
Volume   26.52 Å³/atom


Record 3
Density functional theory data (PBE-GGA) for an optimized crystal structure of Ac2HoSi3Pd12.

Cell: 7.002 7.002 7.002 Å, 83.82 83.82 83.82°
Fractional positions:
Ac (0.633, 0.633, 0.633)
Ac (0.367, 0.367, 0.367)
Ho (0.000, 0.000, 0.000)
Si (0.500, 0.000, 0.000)
Si (0.000, 0.500, 0.000)
Si (0.000, 0.000, 0.500)
Pd (0.359, 0.359, 0.925)
Pd (0.822, 0.822, 0.324)
Pd (0.324, 0.822, 0.822)
Pd (0.925, 0.359, 0.359)
Pd (0.822, 0.324, 0.822)
Pd (0.359, 0.925, 0.359)
Pd (0.641, 0.641, 0.075)
Pd (0.178, 0.178, 0.676)
Pd (0.676, 0.178, 0.178)
Pd (0.075, 0.641, 0.641)
Pd (0.178, 0.676, 0.178)
Pd (0.641, 0.075, 0.641)

SG   R-3m (166)
Fermi-level density of states   0.45 states/eV/atom
Magnetic moment   0.000 μB per atom
Uncorrected energy   -100.52 eV for the cell shown
Volume   18.76 Å³/atom


Record 4
Density functional theory data (PBE-GGA) for an optimized crystal structure of AcHoSi2Pd5.

Cell: 4.287 4.287 9.096 Å, 90.00 90.00 90.00°
Fractional positions:
Ac (0.000, 0.000, 0.500)
Ho (0.000, 0.000, 0.000)
Si (0.500, 0.500, 0.129)
Si (0.500, 0.500, 0.871)
Pd (0.000, 0.500, 0.255)
Pd (0.500, 0.000, 0.255)
Pd (0.000, 0.500, 0.745)
Pd (0.500, 0.000, 0.745)
Pd (0.500, 0.500, 0.500)

SG   P4/mmm (123)
Fermi-level density of states   0.33 states/eV/atom
Magnetic moment   0.000 μB per atom
Uncorrected energy   -53.21 eV for the cell shown
Volume   18.58 Å³/atom


Record 5
Density functional theory data (PBE-GGA) for an optimized crystal structure of AcHoSiPd.

Cell: 5.213 5.213 5.213 Å, 60.00 60.00 60.00°
Fractional positions:
Ac (0.500, 0.500, 0.500)
Si (0.750, 0.750, 0.750)
Ho (0.000, 0.000, 0.000)
Pd (0.250, 0.250, 0.250)

SG   F-43m (216)
Fermi-level density of states   0.47 states/eV/atom
Magnetic moment   0.000 μB per atom
Uncorrected energy   -21.60 eV for the cell shown
Volume   25.04 Å³/atom


Record 6
Density functional theory data (PBE-GGA) for an optimized crystal structure of Ac2HoSi3Pd4.

Cell: 4.385 4.385 10.968 Å, 90.00 90.00 90.00°
Fractional positions:
Ac (0.500, 0.000, 0.230)
Ac (0.000, 0.500, 0.770)
Ho (0.500, 0.500, 0.500)
Si (0.000, 0.000, 0.500)
Si (0.500, 0.000, 0.885)
Si (0.000, 0.500, 0.115)
Pd (0.500, 0.500, 0.000)
Pd (0.000, 0.000, 0.000)
Pd (0.500, 0.000, 0.657)
Pd (0.000, 0.500, 0.343)

SG   P-4m2 (115)
Fermi-level density of states   0.62 states/eV/atom
Magnetic moment   0.000 μB per atom
Uncorrected energy   -58.37 eV for the cell shown
Volume   21.09 Å³/atom


Record 7
Density functional theory data (PBE-GGA) for an optimized crystal structure of Ac2HoSn4Pd3.

Cell: 4.585 4.585 12.290 Å, 90.00 90.00 90.00°
Fractional positions:
Ac (0.500, 0.000, 0.233)
Ac (0.000, 0.500, 0.767)
Ho (0.500, 0.500, 0.500)
Sn (0.500, 0.500, 0.000)
Sn (0.000, 0.000, 0.000)
Sn (0.500, 0.000, 0.656)
Sn (0.000, 0.500, 0.344)
Pd (0.000, 0.000, 0.500)
Pd (0.500, 0.000, 0.876)
Pd (0.000, 0.500, 0.124)

SG   P-4m2 (115)
Fermi-level density of states   0.48 states/eV/atom
Magnetic moment   0.000 μB per atom
Uncorrected energy   -52.18 eV for the cell shown
Volume   25.84 Å³/atom


Record 8
Density functional theory data (PBE-GGA) for an optimized crystal structure of Ac2HoSn3Pd4.

Cell: 4.705 4.705 11.127 Å, 90.00 90.00 90.00°
Fractional positions:
Ac (0.500, 0.000, 0.230)
Ac (0.000, 0.500, 0.770)
Ho (0.500, 0.500, 0.500)
Sn (0.000, 0.000, 0.500)
Sn (0.500, 0.000, 0.879)
Sn (0.000, 0.500, 0.121)
Pd (0.500, 0.500, 0.000)
Pd (0.000, 0.000, 0.000)
Pd (0.500, 0.000, 0.640)
Pd (0.000, 0.500, 0.360)

SG   P-4m2 (115)
Fermi-level density of states   0.65 states/eV/atom
Magnetic moment   0.000 μB per atom
Uncorrected energy   -54.09 eV for the cell shown
Volume   24.63 Å³/atom


Record 9
Density functional theory data (PBE-GGA) for an optimized crystal structure of AcHoZn2Pd5.

Cell: 4.264 4.264 9.482 Å, 90.00 90.00 90.00°
Fractional positions:
Ac (0.000, 0.000, 0.500)
Ho (0.000, 0.000, 0.000)
Zn (0.500, 0.500, 0.126)
Zn (0.500, 0.500, 0.874)
Pd (0.000, 0.500, 0.264)
Pd (0.500, 0.000, 0.264)
Pd (0.000, 0.500, 0.736)
Pd (0.500, 0.000, 0.736)
Pd (0.500, 0.500, 0.500)

SG   P4/mmm (123)
Fermi-level density of states   0.46 states/eV/atom
Magnetic moment   0.000 μB per atom
Uncorrected energy   -42.86 eV for the cell shown
Volume   19.15 Å³/atom


Record 10
Density functional theory data (PBE-GGA) for an optimized crystal structure of Ac2HoZnPd6.

Cell: 5.849 9.038 9.034 Å, 37.76 71.12 90.01°
Fractional positions:
Ac (0.786, 0.213, 0.428)
Ac (0.214, 0.787, 0.572)
Ho (0.000, 0.000, 0.000)
Zn (0.500, 0.500, 0.000)
Pd (0.256, 0.241, 0.488)
Pd (0.758, 0.743, 0.986)
Pd (0.256, 0.743, 0.986)
Pd (0.744, 0.257, 0.014)
Pd (0.242, 0.257, 0.014)
Pd (0.744, 0.759, 0.512)

SG   R-3m (166)
Fermi-level density of states   0.39 states/eV/atom
Magnetic moment   0.000 μB per atom
Uncorrected energy   -51.31 eV for the cell shown
Volume   24.82 Å³/atom


Record 11
Density functional theory data (PBE-GGA) for an optimized crystal structure of Ac2HoZn3Pd4.

Cell: 4.465 4.465 11.142 Å, 90.00 90.00 90.00°
Fractional positions:
Ac (0.500, 0.000, 0.223)
Ac (0.000, 0.500, 0.777)
Ho (0.500, 0.500, 0.500)
Zn (0.000, 0.000, 0.500)
Zn (0.500, 0.000, 0.885)
Zn (0.000, 0.500, 0.115)
Pd (0.500, 0.500, 0.000)
Pd (0.000, 0.000, 0.000)
Pd (0.500, 0.000, 0.653)
Pd (0.000, 0.500, 0.347)

SG   P-4m2 (115)
Fermi-level density of states   0.67 states/eV/atom
Magnetic moment   0.000 μB per atom
Uncorrected energy   -44.06 eV for the cell shown
Volume   22.22 Å³/atom


Record 12
Density functional theory data (PBE-GGA) for an optimized crystal structure of Ac2Pm4Ho.

Cell: 5.699 5.699 9.979 Å, 106.59 106.59 90.00°
Last column: magnetic moment on the atom in μB.
Fractional positions:
Ac (0.628, 0.628, 0.256)  0.01
Ac (0.372, 0.372, 0.744)  0.01
Pm (0.826, 0.826, 0.653)  0.04
Pm (0.174, 0.174, 0.347)  0.04
Pm (0.000, 0.500, 0.000)  0.11
Pm (0.500, 0.000, 0.000)  0.11
Ho (0.000, 0.000, 0.000)  0.32

SG   I4/mmm (139)
Fermi-level density of states   1.51 states/eV/atom
Magnetic moment   0.100 μB per atom
Uncorrected energy   -27.79 eV for the cell shown
Volume   42.36 Å³/atom


Record 13
Density functional theory data (PBE-GGA) for an optimized crystal structure of AcPm6Ho4.

Cell: 7.801 7.801 8.604 Å, 116.96 116.96 90.00°
Fractional positions:
Ac (0.500, 0.500, 0.000)
Pm (0.940, 0.444, 0.383)
Pm (0.444, 0.940, 0.383)
Pm (0.556, 0.556, 0.617)
Pm (0.000, 0.500, 0.000)
Pm (0.060, 0.060, 0.617)
Pm (0.500, 0.000, 0.000)
Ho (0.083, 0.763, 0.847)
Ho (0.917, 0.917, 0.153)
Ho (0.763, 0.083, 0.847)
Ho (0.237, 0.237, 0.153)

SG   I-42m (121)
Fermi-level density of states   1.32 states/eV/atom
Magnetic moment   0.000 μB per atom
Uncorrected energy   -46.93 eV for the cell shown
Volume   36.53 Å³/atom


Record 14
Density functional theory data (PBE-GGA) for an optimized crystal structure of AcPm6Ho12.

Cell: 8.766 8.766 8.766 Å, 99.00 99.00 99.00°
Fractional positions:
Ac (0.000, 0.000, 0.000)
Pm (0.897, 0.349, 0.897)
Pm (0.897, 0.897, 0.349)
Pm (0.349, 0.897, 0.897)
Pm (0.103, 0.103, 0.651)
Pm (0.103, 0.651, 0.103)
Pm (0.651, 0.103, 0.103)
Ho (0.758, 0.242, 0.500)
Ho (0.356, 0.080, 0.356)
Ho (0.356, 0.356, 0.080)
Ho (0.920, 0.644, 0.644)
Ho (0.644, 0.644, 0.920)
Ho (0.644, 0.920, 0.644)
Ho (0.500, 0.758, 0.242)
Ho (0.242, 0.500, 0.758)
Ho (0.242, 0.758, 0.500)
Ho (0.500, 0.242, 0.758)
Ho (0.758, 0.500, 0.242)
Ho (0.080, 0.356, 0.356)

SG   R-3m (166)
Fermi-level density of states   1.60 states/eV/atom
Magnetic moment   0.000 μB per atom
Uncorrected energy   -83.61 eV for the cell shown
Volume   33.99 Å³/atom


Record 15
Density functional theory data (PBE-GGA) for an optimized crystal structure of Ac12Pm7Ho.

Cell: 6.680 12.221 12.221 Å, 116.76 100.50 100.50°
Fractional positions:
Ac (0.088, 0.588, 0.175)
Ac (0.087, 0.175, 0.588)
Ac (0.569, 0.654, 0.000)
Ac (0.431, 0.000, 0.346)
Ac (0.500, 0.412, 0.588)
Ac (0.086, 0.654, 0.654)
Ac (0.914, 0.346, 0.346)
Ac (0.500, 0.588, 0.412)
Ac (0.569, 0.000, 0.654)
Ac (0.431, 0.346, 0.000)
Ac (0.913, 0.825, 0.412)
Ac (0.912, 0.412, 0.825)
Pm (0.108, 0.758, 0.000)
Pm (0.892, 0.000, 0.242)
Pm (0.650, 0.758, 0.758)
Pm (0.500, 0.000, 0.000)
Pm (0.350, 0.242, 0.242)
Pm (0.108, 0.000, 0.758)
Pm (0.892, 0.242, 0.000)
Ho (0.000, 0.000, 0.000)

SG   R-3m (166)
Fermi-level density of states   1.40 states/eV/atom
Magnetic moment   0.000 μB per atom
Uncorrected energy   -83.40 eV for the cell shown
Volume   41.76 Å³/atom


Record 16
Density functional theory data (PBE-GGA) for an optimized crystal structure of Ac2Pm3Ho3.

Cell: 3.804 9.002 17.556 Å, 90.00 90.00 102.20°
Fractional positions:
Ac (0.748, 0.497, 0.607)
Ac (0.252, 0.503, 0.107)
Ac (0.748, 0.497, 0.893)
Ac (0.252, 0.503, 0.393)
Pm (0.593, 0.185, 0.041)
Pm (0.407, 0.815, 0.541)
Pm (0.593, 0.185, 0.459)
Pm (0.407, 0.815, 0.959)
Pm (0.386, 0.772, 0.250)
Pm (0.614, 0.228, 0.750)
Ho (0.957, 0.913, 0.118)
Ho (0.043, 0.087, 0.618)
Ho (0.957, 0.913, 0.382)
Ho (0.043, 0.087, 0.882)
Ho (0.589, 0.178, 0.250)
Ho (0.411, 0.822, 0.750)

SG   Cmcm (63)
Fermi-level density of states   1.25 states/eV/atom
Magnetic moment   0.000 μB per atom
Uncorrected energy   -69.92 eV for the cell shown
Volume   36.72 Å³/atom


Record 17
Density functional theory data (PBE-GGA) for an optimized crystal structure of Ac3Pm7Ho2.

Cell: 3.783 5.828 20.950 Å, 90.00 95.19 90.00°
Fractional positions:
Ac (0.500, 0.500, 0.000)
Ac (0.825, 0.000, 0.650)
Ac (0.175, 0.000, 0.350)
Pm (0.282, 0.500, 0.565)
Pm (0.718, 0.500, 0.435)
Pm (0.413, 0.000, 0.826)
Pm (0.000, 0.000, 0.000)
Pm (0.587, 0.000, 0.174)
Pm (0.071, 0.500, 0.142)
Pm (0.929, 0.500, 0.858)
Ho (0.360, 0.500, 0.721)
Ho (0.640, 0.500, 0.279)

SG   P2/m (10)
Fermi-level density of states   1.51 states/eV/atom
Magnetic moment   0.000 μB per atom
Uncorrected energy   -52.07 eV for the cell shown
Volume   38.33 Å³/atom


Record 18
Density functional theory data (PBE-GGA) for an optimized crystal structure of Ac4Pm2Ho.

Cell: 7.372 7.372 12.352 Å, 90.94 90.94 121.61°
Fractional positions:
Ac (0.276, 0.220, 0.500)
Ac (0.705, 0.206, 0.098)
Ac (0.794, 0.295, 0.402)
Ac (0.780, 0.724, 0.000)
Ac (0.220, 0.276, 0.000)
Ac (0.206, 0.705, 0.598)
Ac (0.295, 0.794, 0.902)
Ac (0.724, 0.780, 0.500)
Pm (0.490, 0.510, 0.750)
Pm (0.753, 0.247, 0.750)
Pm (0.510, 0.490, 0.250)
Pm (0.247, 0.753, 0.250)
Ho (0.986, 0.014, 0.250)
Ho (0.014, 0.986, 0.750)

SG   C2/c (15)
Fermi-level density of states   1.70 states/eV/atom
Magnetic moment   0.001 μB per atom
Uncorrected energy   -57.54 eV for the cell shown
Volume   40.81 Å³/atom


Record 19
Density functional theory data (PBE-GGA) for an optimized crystal structure of AcPmHo2.

Cell: 5.848 5.848 5.848 Å, 60.00 60.00 60.00°
Fractional positions:
Ac (0.500, 0.500, 0.500)
Ho (0.250, 0.250, 0.250)
Ho (0.750, 0.750, 0.750)
Pm (0.000, 0.000, 0.000)

SG   Fm-3m (225)
Fermi-level density of states   1.81 states/eV/atom
Magnetic moment   0.000 μB per atom
Uncorrected energy   -17.55 eV for the cell shown
Volume   35.35 Å³/atom


Record 20
Density functional theory data (PBE-GGA) for an optimized crystal structure of Ac2Pm2Ho.

Cell: 4.933 4.933 9.042 Å, 105.83 105.83 90.00°
Fractional positions:
Ac (0.750, 0.250, 0.500)
Ac (0.250, 0.750, 0.500)
Pm (0.409, 0.409, 0.819)
Pm (0.591, 0.591, 0.181)
Ho (0.000, 0.000, 0.000)

SG   I4/mmm (139)
Fermi-level density of states   1.82 states/eV/atom
Magnetic moment   0.000 μB per atom
Uncorrected energy   -19.95 eV for the cell shown
Volume   40.60 Å³/atom


Record 21
Density functional theory data (PBE-GGA) for an optimized crystal structure of AcPm6Ho8.

Cell: 9.305 9.305 8.631 Å, 57.38 57.38 60.00°
Fractional positions:
Ac (0.000, 0.000, 0.000)
Pm (0.452, 0.894, 0.923)
Pm (0.106, 0.268, 0.077)
Pm (0.268, 0.548, 0.077)
Pm (0.732, 0.452, 0.923)
Pm (0.894, 0.732, 0.923)
Pm (0.548, 0.106, 0.077)
Ho (0.353, 0.225, 0.505)
Ho (0.775, 0.084, 0.495)
Ho (0.084, 0.647, 0.495)
Ho (0.570, 0.570, 0.289)
Ho (0.430, 0.430, 0.711)
Ho (0.916, 0.353, 0.505)
Ho (0.225, 0.916, 0.505)
Ho (0.647, 0.775, 0.495)

SG   R-3 (148)
Fermi-level density of states   1.42 states/eV/atom
Magnetic moment   0.000 μB per atom
Uncorrected energy   -66.68 eV for the cell shown
Volume   33.77 Å³/atom